(1)
An optimized crystal structure of MgCd4P. Source: the Alexandria database, functional GGA-PBE. Values from VASP.

Output
The total energy comes out at -1.4964 eV per atom. As for the space-group type: F-43m (216). The calculation puts the formation energy from the elements at 27.1 kJ per mole of atoms.

Quantum ESPRESSO input file:
```
&SYSTEM
  ibrav = 0, nat = 6, ntyp = 3
/
ATOMIC_SPECIES
Mg 24.30 Mg.upf
Cd 112.41 Cd.upf
P 30.97 P.upf
CELL_PARAMETERS angstrom
0.0000 4.0702 4.0702
4.0702 0.0000 4.0702
4.0702 4.0702 0.0000
ATOMIC_POSITIONS angstrom
Mg 0.0000 0.0000 0.0000
Cd 3.0546 3.0546 3.0546
Cd 5.0857 5.0857 3.0546
Cd 5.0857 3.0546 5.0857
Cd 3.0546 5.0857 5.0857
P 6.1053 6.1053 6.1053
```

***

(2)
An optimized crystal structure of MnAlAu. Source: the Alexandria database, functional GGA-PBE. Values from VASP.

Output
The total energy comes out at -5.4628 eV per atom. As for the space-group type: F-43m (216). The calculation puts the formation energy from the elements at -6.4 kJ per mole of atoms.

Quantum ESPRESSO input file:
```
&SYSTEM
  ibrav = 0, nat = 12, ntyp = 3
/
ATOMIC_SPECIES
Mn 54.94 Mn.upf
Al 26.98 Al.upf
Au 196.97 Au.upf
CELL_PARAMETERS angstrom
6.0627 0.0000 0.0000
0.0000 6.0627 0.0000
0.0000 0.0000 6.0627
ATOMIC_POSITIONS angstrom
Mn 0.0000 0.0000 0.0000
Mn 0.0000 3.0313 3.0313
Mn 3.0313 0.0000 3.0313
Mn 3.0313 3.0313 0.0000
Al 0.0000 0.0000 3.0313
Al 0.0000 3.0313 0.0000
Al 3.0313 0.0000 0.0000
Al 3.0313 3.0313 3.0313
Au 1.5157 1.5157 1.5157
Au 1.5157 4.5470 4.5470
Au 4.5470 1.5157 4.5470
Au 4.5470 4.5470 1.5157
```

***

(3)
An optimized crystal structure of Cs3Dy3TiS8. Source: the Alexandria database, functional GGA-PBE. Values from VASP.

Output
The total energy comes out at -5.5304 eV per atom. As for the space-group type: R-3m (166).

Quantum ESPRESSO input file:
```
&SYSTEM
  ibrav = 0, nat = 15, ntyp = 4
/
ATOMIC_SPECIES
Cs 132.91 Cs.upf
Dy 162.50 Dy.upf
Ti 47.87 Ti.upf
S 32.06 S.upf
CELL_PARAMETERS angstrom
3.9533 2.2824 8.2085
-3.9533 2.2824 8.2085
0.0000 -4.5648 8.2085
ATOMIC_POSITIONS angstrom
Cs -1.9766 -1.1412 8.2085
Cs -1.9766 1.1412 16.4170
Cs 0.0000 2.2824 8.2085
Dy -3.9533 0.0000 12.3128
Dy -1.9766 1.1412 4.1043
Dy 1.9766 1.1412 4.1043
Ti 0.0000 0.0000 12.3128
S 0.0000 0.0000 5.5999
S -1.8132 -1.0468 13.7133
S 0.0000 -2.0937 10.9122
S -1.8132 1.0469 10.9122
S 1.8132 -1.0469 13.7133
S 0.0000 2.0937 13.7133
S 1.8132 1.0469 10.9122
S 0.0000 0.0000 19.0257
```

***

(4)
An optimized crystal structure of La3PmGa2. Source: the Alexandria database, functional GGA-PBE. Values from VASP.

Output
The total energy comes out at -4.6793 eV per atom. As for the space-group type: Pmc2_1 (26). The calculation puts the formation energy from the elements at -40.0 kJ per mole of atoms.

Quantum ESPRESSO input file:
```
&SYSTEM
  ibrav = 0, nat = 12, ntyp = 3
/
ATOMIC_SPECIES
La 138.91 La.upf
Pm 145.00 Pm.upf
Ga 69.72 Ga.upf
CELL_PARAMETERS angstrom
5.2704 0.0000 0.0000
0.0000 9.8472 0.0000
0.0000 0.0000 6.7866
ATOMIC_POSITIONS angstrom
La 0.0000 0.5807 0.0000
La 0.0000 3.2801 2.1510
La 0.0000 6.5671 5.5442
La 0.0000 9.2666 3.3933
La 2.6352 1.6639 4.7506
La 2.6352 8.1833 1.3573
Pm 2.6352 4.3363 0.0976
Pm 2.6352 5.5110 3.4909
Ga 0.0000 3.4598 5.4043
Ga 0.0000 6.3874 2.0110
Ga 2.6352 1.5052 1.5119
Ga 2.6352 8.3420 4.9052
```

***

(5)
An optimized crystal structure of NaCu2Au3. Source: the Alexandria database, functional GGA-PBE. Values from VASP.

Output
The total energy comes out at -3.2993 eV per atom. As for the space-group type: Cmcm (63). The calculation puts the formation energy from the elements at -7.3 kJ per mole of atoms.

Quantum ESPRESSO input file:
```
&SYSTEM
  ibrav = 0, nat = 12, ntyp = 3
/
ATOMIC_SPECIES
Na 22.99 Na.upf
Cu 63.55 Cu.upf
Au 196.97 Au.upf
CELL_PARAMETERS angstrom
5.3049 -4.3971 0.0000
5.3049 4.3971 0.0000
0.0000 0.0000 5.2748
ATOMIC_POSITIONS angstrom
Na 5.3049 2.6491 3.9561
Na 5.3049 -2.6491 1.3187
Cu 3.0428 0.0000 0.0000
Cu 3.0428 0.0000 2.6374
Cu 7.5670 0.0000 0.0000
Cu 7.5670 0.0000 2.6374
Au 3.1048 2.3235 1.3187
Au 5.3049 0.5636 1.3187
Au 7.5050 2.3235 1.3187
Au 3.1048 -2.3235 3.9561
Au 5.3049 -0.5636 3.9561
Au 7.5050 -2.3235 3.9561
```

***

(6)
An optimized crystal structure of TlMo4As. Source: the Alexandria database, functional GGA-PBE. Values from VASP.

Output
The total energy comes out at -7.7658 eV per atom. As for the space-group type: F-43m (216). The calculation puts the formation energy from the elements at 60.2 kJ per mole of atoms.

Quantum ESPRESSO input file:
```
&SYSTEM
  ibrav = 0, nat = 6, ntyp = 3
/
ATOMIC_SPECIES
Tl 204.38 Tl.upf
Mo 95.94 Mo.upf
As 74.92 As.upf
CELL_PARAMETERS angstrom
0.0000 3.7847 3.7847
3.7847 0.0000 3.7847
3.7847 3.7847 0.0000
ATOMIC_POSITIONS angstrom
Tl 0.0000 0.0000 0.0000
Mo 2.8352 2.8352 2.8352
Mo 4.7342 4.7342 2.8352
Mo 4.7342 2.8352 4.7342
Mo 2.8352 4.7342 4.7342
As 5.6771 5.6771 5.6771
```

***

(7)
An optimized crystal structure of LiDyMgTc. Source: the Alexandria database, functional GGA-PBE. Values from VASP.

Output
The total energy comes out at -4.4317 eV per atom. As for the space-group type: F-43m (216). The calculation puts the formation energy from the elements at 18.1 kJ per mole of atoms.

Quantum ESPRESSO input file:
```
&SYSTEM
  ibrav = 0, nat = 16, ntyp = 4
/
ATOMIC_SPECIES
Li 6.94 Li.upf
Dy 162.50 Dy.upf
Mg 24.30 Mg.upf
Tc 98.00 Tc.upf
CELL_PARAMETERS angstrom
6.7562 0.0000 0.0000
0.0000 6.7562 0.0000
0.0000 0.0000 6.7562
ATOMIC_POSITIONS angstrom
Li 0.0000 0.0000 0.0000
Li 0.0000 3.3781 3.3781
Li 3.3781 0.0000 3.3781
Li 3.3781 3.3781 0.0000
Dy 1.6890 1.6890 1.6890
Dy 1.6890 5.0671 5.0671
Dy 5.0671 1.6890 5.0671
Dy 5.0671 5.0671 1.6890
Mg 1.6890 1.6890 5.0671
Mg 1.6890 5.0671 1.6890
Mg 5.0671 1.6890 1.6890
Mg 5.0671 5.0671 5.0671
Tc 0.0000 0.0000 3.3781
Tc 0.0000 3.3781 0.0000
Tc 3.3781 0.0000 0.0000
Tc 3.3781 3.3781 3.3781
```

***

(8)
An optimized crystal structure of DyCuAgPb. Source: the Alexandria database, functional GGA-PBE. Values from VASP.

Output
The total energy comes out at -4.0081 eV per atom. As for the space-group type: F-43m (216). The calculation puts the formation energy from the elements at -18.7 kJ per mole of atoms.

Quantum ESPRESSO input file:
```
&SYSTEM
  ibrav = 0, nat = 16, ntyp = 4
/
ATOMIC_SPECIES
Dy 162.50 Dy.upf
Cu 63.55 Cu.upf
Ag 107.87 Ag.upf
Pb 207.20 Pb.upf
CELL_PARAMETERS angstrom
6.9880 0.0000 0.0000
0.0000 6.9880 0.0000
0.0000 0.0000 6.9880
ATOMIC_POSITIONS angstrom
Dy 0.0000 0.0000 0.0000
Dy 0.0000 3.4940 3.4940
Dy 3.4940 0.0000 3.4940
Dy 3.4940 3.4940 0.0000
Cu 1.7470 1.7470 5.2410
Cu 1.7470 5.2410 1.7470
Cu 5.2410 1.7470 1.7470
Cu 5.2410 5.2410 5.2410
Ag 1.7470 1.7470 1.7470
Ag 1.7470 5.2410 5.2410
Ag 5.2410 1.7470 5.2410
Ag 5.2410 5.2410 1.7470
Pb 0.0000 0.0000 3.4940
Pb 0.0000 3.4940 0.0000
Pb 3.4940 0.0000 0.0000
Pb 3.4940 3.4940 3.4940
```

***

(9)
An optimized crystal structure of TbPm3Ho2Se6. Source: the Alexandria database, functional GGA-PBE. Values from VASP.

Output
The total energy comes out at -5.8696 eV per atom. As for the space-group type: C2/m (12).

Quantum ESPRESSO input file:
```
&SYSTEM
  ibrav = 0, nat = 12, ntyp = 4
/
ATOMIC_SPECIES
Tb 158.93 Tb.upf
Pm 145.00 Pm.upf
Ho 164.93 Ho.upf
Se 78.96 Se.upf
CELL_PARAMETERS angstrom
9.0404 -2.0505 0.0000
9.0404 2.0505 0.0000
-2.0790 0.0000 8.0783
ATOMIC_POSITIONS angstrom
Tb 0.0000 0.0000 0.0000
Pm -1.0395 0.0000 4.0392
Pm 5.6998 0.0000 1.3480
Pm 10.3020 0.0000 6.7303
Ho 4.6474 0.0000 5.3927
Ho 11.3545 0.0000 2.6857
Se 2.7968 0.0000 0.7398
Se 1.8738 0.0000 4.6513
Se 7.4112 0.0000 6.0966
Se 8.5906 0.0000 1.9817
Se 14.1280 0.0000 3.4271
Se 13.2050 0.0000 7.3385
```

***

- Which formula does entry 5 have?
  NaCu2Au3

***

- Number 4 is which compound?
  La3PmGa2